1.
{
  "formula": "CuMo2Cl",
  "functional": "SCAN",
  "state": "PBEsol geometry",
  "relative_energy_ev_per_atom": 0.2736,
  "raw_formation_energy_ev_per_atom": 0.66,
  "rho_g_cm3": 8.33,
  "cell": [[2.7021, -0.0041, 0.0000], [-0.9558, 2.5274, 0.0000], [0.0000, 0.0000, 8.4911]],
  "species": ["Mo", "Mo", "Cu", "Cl"],
  "fractional_positions": [[0.0000, 0.0000, 0.2493], [0.0000, 0.0000, 0.7507], [0.5000, 0.5000, 0.0000], [0.5000, 0.5000, 0.5000]]
}

=====

2.
{
  "formula": "CuMo2Cl",
  "functional": "SCAN",
  "state": "PBEsol geometry",
  "relative_energy_ev_per_atom": 0.0000,
  "raw_formation_energy_ev_per_atom": 0.38,
  "rho_g_cm3": 7.90,
  "cell": [[-1.7435, -0.3914, -2.6221], [-1.0575, -2.7751, 1.1174], [-4.6533, 2.8479, 2.6689]],
  "species": ["Mo", "Mo", "Cu", "Cl"],
  "fractional_positions": [[0.0000, 0.0000, 0.9896], [0.5000, 0.5000, 0.2037], [0.5000, 0.5000, 0.7616], [0.0000, 0.0000, 0.5452]]
}

=====

3.
{
  "formula": "Rb2CuMoCl6",
  "functional": "SCAN",
  "state": "PBEsol geometry",
  "raw_formation_energy_ev_per_atom": -1.44,
  "rho_g_cm3": 3.82,
  "cell": [[6.9376, 0.0000, 0.0000], [3.4688, 6.0081, 0.0000], [3.4688, 2.0027, 5.6645]],
  "species": ["Rb", "Rb", "Cu", "Mo", "Cl", "Cl", "Cl", "Cl", "Cl", "Cl"],
  "fractional_positions": [[0.7500, 0.7500, 0.7500], [0.2500, 0.2500, 0.2500], [0.5000, 0.5000, 0.5000], [0.0000, 0.0000, 0.0000], [0.7515, 0.2485, 0.2485], [0.7515, 0.7515, 0.2485], [0.2485, 0.7515, 0.7515], [0.7515, 0.2485, 0.7515], [0.2485, 0.7515, 0.2485], [0.2485, 0.2485, 0.7515]]
}

=====

4.
{
  "formula": "SrCuMo2Cl",
  "functional": "SCAN",
  "state": "PBEsol geometry",
  "raw_formation_energy_ev_per_atom": 1.07,
  "rho_g_cm3": 4.89,
  "cell": [[-2.4585, 1.8875, -3.2311], [3.1130, -1.1136, -3.0192], [-2.9731, -5.5904, -1.0036]],
  "species": ["Sr", "Mo", "Mo", "Cu", "Cl"],
  "fractional_positions": [[0.5000, 0.5000, 0.5000], [0.0000, 0.5000, 0.0000], [0.5000, 0.0000, 0.0000], [0.0000, 0.0000, 0.0000], [0.0000, 0.0000, 0.5000]]
}

=====

5.
{
  "formula": "Zr2CuMoCl",
  "functional": "SCAN",
  "state": "PBEsol geometry",
  "raw_formation_energy_ev_per_atom": 0.69,
  "rho_g_cm3": 5.50,
  "cell": [[4.6956, 0.0000, 0.0000], [0.0000, 4.9260, 0.0000], [0.0000, 0.0000, 4.9260]],
  "species": ["Mo", "Cu", "Zr", "Zr", "Cl"],
  "fractional_positions": [[0.0000, 0.0000, 0.0000], [0.5000, 0.0000, 0.0000], [0.0000, 0.0000, 0.5000], [0.0000, 0.5000, 0.0000], [0.5000, 0.5000, 0.5000]]
}

=====

6.
{
  "formula": "NaCuS2Cl",
  "functional": "SCAN",
  "state": "PBEsol geometry",
  "raw_formation_energy_ev_per_atom": 0.70,
  "rho_g_cm3": 2.62,
  "cell": [[4.9459, 0.0000, 0.0000], [0.0000, 4.9459, 0.0000], [0.0000, 0.0000, 4.8288]],
  "species": ["Na", "S", "S", "Cu", "Cl"],
  "fractional_positions": [[0.0000, 0.0000, 0.0000], [0.0000, 0.5000, 0.0000], [0.5000, 0.0000, 0.0000], [0.5000, 0.5000, 0.5000], [0.0000, 0.0000, 0.5000]]
}

=====

7.
{
  "formula": "NaZnCu2Cl",
  "functional": "SCAN",
  "state": "PBEsol geometry",
  "raw_formation_energy_ev_per_atom": 1.08,
  "rho_g_cm3": 3.66,
  "cell": [[-2.7627, -1.3102, 3.6614], [-0.2801, -4.4127, -1.7903], [4.0716, -1.3141, 2.6019]],
  "species": ["Na", "Zn", "Cu", "Cu", "Cl"],
  "fractional_positions": [[0.0000, 0.0000, 0.0000], [0.0000, 0.0000, 0.5000], [0.0000, 0.5000, 0.0000], [0.5000, 0.0000, 0.0000], [0.5000, 0.5000, 0.5000]]
}

=====

8.
{
  "formula": "NdNb2CuClO7",
  "functional": "SCAN",
  "state": "PBEsol geometry",
  "raw_formation_energy_ev_per_atom": -2.54,
  "rho_g_cm3": 5.17,
  "cell": [[3.8616, 0.0000, 0.0000], [0.0000, 3.8616, 0.0000], [0.0000, 0.0000, 11.6633]],
  "species": ["Nd", "Nb", "Nb", "Cu", "Cl", "O", "O", "O", "O", "O", "O", "O"],
  "fractional_positions": [[0.5000, 0.5000, 0.0000], [0.0000, 0.0000, 0.1909], [0.0000, 0.0000, 0.8091], [0.0000, 0.0000, 0.5000], [0.5000, 0.5000, 0.5000], [0.0000, 0.5000, 0.1503], [0.0000, 0.5000, 0.8497], [0.5000, 0.0000, 0.1503], [0.5000, 0.0000, 0.8497], [0.0000, 0.0000, 0.3456], [0.0000, 0.0000, 0.6544], [0.0000, 0.0000, 0.0000]]
}

=====

9.
{
  "formula": "NbCuP2Cl",
  "functional": "SCAN",
  "state": "PBEsol geometry",
  "raw_formation_energy_ev_per_atom": 0.41,
  "rho_g_cm3": 3.86,
  "cell": [[-0.8593, -3.9424, -2.4875], [-0.0173, -2.5583, 4.0604], [-4.7196, 0.7452, 0.4495]],
  "species": ["P", "P", "Nb", "Cu", "Cl"],
  "fractional_positions": [[0.0000, 0.0000, 0.5000], [0.0000, 0.5000, 0.0000], [0.0000, 0.0000, 0.0000], [0.5000, 0.5000, 0.5000], [0.5000, 0.0000, 0.0000]]
}

=====

10.
{
  "formula": "RbNb3CuCl9",
  "functional": "SCAN",
  "state": "PBEsol geometry",
  "raw_formation_energy_ev_per_atom": -1.44,
  "rho_g_cm3": 3.93,
  "cell": [[9.2037, 0.0119, -0.0417], [-0.9083, 9.2052, 0.0150], [-2.5167, -4.8544, 7.4481]],
  "species": ["Rb", "Rb", "Nb", "Nb", "Nb", "Nb", "Nb", "Nb", "Cu", "Cu", "Cl", "Cl", "Cl", "Cl", "Cl", "Cl", "Cl", "Cl", "Cl", "Cl", "Cl", "Cl", "Cl", "Cl", "Cl", "Cl", "Cl", "Cl"],
  "fractional_positions": [[0.6677, 0.7374, 0.5220], [0.3323, 0.2626, 0.4780], [0.8644, 0.6592, 0.1026], [0.1411, 0.5787, 0.2561], [0.1434, 0.6988, 0.0190], [0.1356, 0.3408, 0.8974], [0.8589, 0.4213, 0.7439], [0.8566, 0.3012, 0.9810], [0.3833, 0.9499, 0.8202], [0.6167, 0.0501, 0.1798], [0.3282, 0.6763, 0.5793], [0.3311, 0.9579, 0.0528], [0.6650, 0.1706, 0.6739], [0.3350, 0.8294, 0.3261], [0.6931, 0.8541, 0.2353], [0.3277, 0.5483, 0.9032], [0.6718, 0.3237, 0.4207], [0.0071, 0.7785, 0.4217], [0.3261, 0.4037, 0.1821], [0.3069, 0.1459, 0.7647], [0.9974, 0.3580, 0.2789], [0.9915, 0.0783, 0.8583], [0.0026, 0.6420, 0.7211], [0.6739, 0.5963, 0.8179], [0.6689, 0.0421, 0.9472], [0.9929, 0.2215, 0.5783], [0.0085, 0.9217, 0.1417], [0.6723, 0.4517, 0.0968]]
}

=====

11.
{
  "formula": "NbCuSCl2",
  "functional": "SCAN",
  "state": "PBEsol geometry",
  "raw_formation_energy_ev_per_atom": 0.09,
  "rho_g_cm3": 4.63,
  "cell": [[4.4297, 0.0000, 0.0000], [0.0000, 4.4297, 0.0000], [0.0000, 0.0000, 4.7390]],
  "species": ["Nb", "S", "Cu", "Cl", "Cl"],
  "fractional_positions": [[0.5000, 0.5000, 0.5000], [0.0000, 0.0000, 0.5000], [0.0000, 0.0000, 0.0000], [0.0000, 0.5000, 0.0000], [0.5000, 0.0000, 0.0000]]
}

=====

12.
{
  "formula": "Rb2NdCuCl6",
  "functional": "SCAN",
  "state": "PBEsol geometry",
  "raw_formation_energy_ev_per_atom": -1.98,
  "rho_g_cm3": 3.56,
  "cell": [[-5.3686, 4.9517, 0.0590], [-6.7375, -1.9427, 2.0438], [-2.7142, 2.3680, 6.3538]],
  "species": ["Rb", "Rb", "Nd", "Cu", "Cl", "Cl", "Cl", "Cl", "Cl", "Cl"],
  "fractional_positions": [[0.7500, 0.7500, 0.7500], [0.2500, 0.2500, 0.2500], [0.5000, 0.5000, 0.5000], [0.0000, 0.0000, 0.0000], [0.7606, 0.2394, 0.2394], [0.7606, 0.7606, 0.2394], [0.2394, 0.7606, 0.7606], [0.7606, 0.2394, 0.7606], [0.2394, 0.7606, 0.2394], [0.2394, 0.2394, 0.7606]]
}